An optimized crystal structure of CoAgSb2Te. Source: the Alexandria database, functional PBE.

Lattice parameters (Å, degrees): 5.304 5.451 5.304 90.00 90.00 90.00
Each line ends with the local moment (μB).
Fractional coordinates of all 5 atoms:
Co  0.500  0.500  0.500  2.12
Te  0.000  0.500  0.000  -0.01
Sb  0.500  0.000  0.000  -0.06
Sb  0.000  0.000  0.500  -0.07
Ag  0.000  0.000  0.000  -0.01

## Properties
- Raw total energy: -3.08 eV/atom
- Total magnetization: 0.36 μB per atom
- Excess energy over the best structure of this formula in the dataset: 798.3 meV per atom